Version w
## Tb2EuHg (PBE)

Data for a relaxed Tb2EuHg crystal.

Cell and atoms, written as extended XYZ:
```
4
Lattice="-0.959 -2.550 4.742 2.031 -5.002 0.874 4.062 -0.713 3.592" Properties=species:S:1:pos:R:3 pbc="T T T"
Tb 3.851 -6.199 6.906
Tb 1.284 -2.066 2.302
Hg 2.567 -4.132 4.604
Eu 0.000 0.000 0.000
```

Output
Crystal system = cubic
Total moment = 7.4 Bohr magnetons per cell

---

Version x
## Tb2EuHg (PBE)

Data for a relaxed Tb2EuHg crystal.

Cell and atoms, written as extended XYZ:
```
4
Lattice="3.688 0.000 0.000 1.844 3.194 0.000 1.844 1.065 10.867" Properties=species:S:1:pos:R:3 pbc="T T T"
Hg 0.000 0.000 0.000
Tb 5.532 3.194 8.507
Tb 1.844 1.065 2.360
Eu 3.688 2.129 5.433
```

Output
Crystal system = trigonal
Total moment = 7.7 Bohr magnetons per cell

---

Which one sits at the top of the stability order? version x does.

---

Version w
## Eu2YHg (PBE)

Data for a relaxed Eu2YHg crystal.

Cell and atoms, written as extended XYZ:
```
4
Lattice="3.642 0.000 0.000 1.821 3.154 0.000 1.821 1.051 12.022" Properties=species:S:1:pos:R:3 pbc="T T T"
Eu 5.463 3.154 3.453
Eu 1.821 1.051 8.569
Y 0.000 0.000 0.000
Hg 3.642 2.103 6.011
```

Output
Crystal system = trigonal
Total moment = 15.5 Bohr magnetons per cell

---

Version x
## Eu2YHg (PBE)

Data for a relaxed Eu2YHg crystal.

Cell and atoms, written as extended XYZ:
```
4
Lattice="-2.494 1.152 2.635 -2.588 -2.420 -1.392 3.032 -6.536 5.726" Properties=species:S:1:pos:R:3 pbc="T T T"
Y -1.025 -3.902 3.485
Eu 2.385 -5.142 4.505
Eu 0.646 -1.393 1.221
Hg -2.541 -0.634 0.622
```

Output
Crystal system = tetragonal
Total moment = 15.5 Bohr magnetons per cell

---

Version y
## Eu2YHg (PBE)

Data for a relaxed Eu2YHg crystal.

Cell and atoms, written as extended XYZ:
```
4
Lattice="5.054 0.000 0.000 0.000 4.964 0.000 0.000 0.000 4.964" Properties=species:S:1:pos:R:3 pbc="T T T"
Eu 0.000 2.482 0.000
Eu 0.000 0.000 2.482
Y 2.527 0.000 0.000
Hg 2.527 2.482 2.482
```

Output
Crystal system = tetragonal
Total moment = 15.1 Bohr magnetons per cell

---

Which one sits at the top of the stability order? version x does.

---

Version w
## EuY2Hg (PBE)

Data for a relaxed EuY2Hg crystal.

Cell and atoms, written as extended XYZ:
```
4
Lattice="-0.191 1.112 -4.672 -4.785 -1.193 -0.089 -1.181 4.648 1.154" Properties=species:S:1:pos:R:3 pbc="T T T"
Y -0.590 2.324 0.577
Y -2.393 -0.597 -0.044
Hg -3.078 2.283 -1.803
Eu -0.095 0.556 -2.336
```

Output
Crystal system = tetragonal
Total moment = 7.2 Bohr magnetons per cell

---

Version x
## EuY2Hg (PBE)

Data for a relaxed EuY2Hg crystal.

Cell and atoms, written as extended XYZ:
```
4
Lattice="-3.215 -0.135 -1.795 -0.978 -2.953 1.974 -3.780 5.500 6.355" Properties=species:S:1:pos:R:3 pbc="T T T"
Hg -2.096 -1.544 0.090
Eu -3.987 1.206 3.267
Y -0.775 1.127 1.302
Y -3.006 4.373 5.053
```

Output
Crystal system = tetragonal
Total moment = 8.5 Bohr magnetons per cell

---

Which one sits at the top of the stability order? version x does.

---

Version w
## EuZnHg2 (PBE)

Data for a relaxed EuZnHg2 crystal.

Cell and atoms, written as extended XYZ:
```
4
Lattice="3.741 0.000 0.000 0.000 3.741 0.000 0.000 0.000 7.104" Properties=species:S:1:pos:R:3 pbc="T T T"
Zn 1.871 1.871 0.000
Hg 0.000 0.000 1.545
Hg 0.000 0.000 5.559
Eu 1.871 1.871 3.552
```

Output
Crystal system = tetragonal
Total moment = 7.2 Bohr magnetons per cell

---

Version x
## EuZnHg2 (PBE)

Data for a relaxed EuZnHg2 crystal.

Cell and atoms, written as extended XYZ:
```
4
Lattice="-2.015 -3.608 -2.118 1.766 -2.892 3.247 -3.842 0.603 2.626" Properties=species:S:1:pos:R:3 pbc="T T T"
Eu -2.046 -2.949 1.877
Zn -1.007 -1.804 -1.059
Hg 0.883 -1.446 1.623
Hg -1.921 0.302 1.313
```

Output
Crystal system = tetragonal
Total moment = 7.4 Bohr magnetons per cell

---

Which one sits at the top of the stability order? version x does.

---

Version w
## Eu2Ho (PBE)

Data for a relaxed Eu2Ho crystal.

Cell and atoms, written as extended XYZ:
```
3
Lattice="-3.442 -0.231 -1.391 0.874 -3.230 -1.625 -1.118 -2.245 8.116" Properties=species:S:1:pos:R:3 pbc="T T T"
Eu -2.058 -3.011 0.620
Eu -1.629 -2.695 4.480
Ho 0.000 0.000 0.000
```

Output
Crystal system = tetragonal
Total moment = 15.2 Bohr magnetons per cell

---

Version x
## Eu2Ho (PBE)

Data for a relaxed Eu2Ho crystal.

Cell and atoms, written as extended XYZ:
```
6
Lattice="-3.514 4.042 -4.262 -6.698 -1.036 -0.957 -4.545 4.471 2.491" Properties=species:S:1:pos:R:3 pbc="T T T"
Eu -6.950 2.438 -2.950
Eu -7.466 2.652 0.426
Eu -5.874 5.191 -1.226
Eu -9.223 4.673 -1.705
Ho -3.689 1.869 -0.682
Ho 0.000 0.000 0.000
```

Output
Crystal system = cubic
Total moment = 30.9 Bohr magnetons per cell

---

Which one sits at the top of the stability order? version w does.

---

Version w
## Eu3Ho (PBE)

Data for a relaxed Eu3Ho crystal.

Cell and atoms, written as extended XYZ:
```
4
Lattice="5.344 0.000 0.000 0.000 5.344 0.000 0.000 0.000 5.344" Properties=species:S:1:pos:R:3 pbc="T T T"
Ho 0.000 0.000 0.000
Eu 2.672 2.672 0.000
Eu 2.672 0.000 2.672
Eu 0.000 2.672 2.672
```

Output
Crystal system = cubic
Total moment = 22.6 Bohr magnetons per cell

---

Version x
## Eu3Ho (PBE)

Data for a relaxed Eu3Ho crystal.

Cell and atoms, written as extended XYZ:
```
4
Lattice="6.001 0.000 0.000 3.001 5.197 0.000 3.001 1.732 4.900" Properties=species:S:1:pos:R:3 pbc="T T T"
Ho 6.001 3.465 2.450
Eu 0.000 0.000 0.000
Eu 3.001 1.732 1.225
Eu 9.002 5.197 3.675
```

Output
Crystal system = cubic
Total moment = 7.3 Bohr magnetons per cell

---

Which one sits at the top of the stability order? version w does.

---

Version w
## Eu3Ho (PBE)

Data for a relaxed Eu3Ho crystal.

Cell and atoms, written as extended XYZ:
```
8
Lattice="2.284 2.373 -6.860 -6.653 -3.616 0.755 -2.806 5.353 0.918" Properties=species:S:1:pos:R:3 pbc="T T T"
Ho -5.778 2.395 -1.095
Ho -1.396 1.715 -4.092
Eu -1.338 5.371 -4.879
Eu -2.458 4.207 -1.513
Eu -4.602 3.597 -4.508
Eu -5.837 -1.261 -0.309
Eu -4.716 -0.097 -3.674
Eu -2.573 0.513 -0.679
```

Output
Crystal system = hexagonal
Total moment = 45.1 Bohr magnetons per cell

---

Version x
## Eu3Ho (PBE)

Data for a relaxed Eu3Ho crystal.

Cell and atoms, written as extended XYZ:
```
4
Lattice="3.713 0.000 0.000 0.000 6.162 0.000 0.000 0.000 6.640" Properties=species:S:1:pos:R:3 pbc="T T T"
Ho 0.000 0.000 6.133
Eu 0.000 3.081 1.568
Eu 1.856 0.000 2.813
Eu 1.856 3.081 4.980
```

Output
Crystal system = orthorhombic
Total moment = 7.5 Bohr magnetons per cell

---

Which one sits at the top of the stability order? version w does.

---

Version w
## LaEu2Ho (PBE)

Data for a relaxed LaEu2Ho crystal.

Cell and atoms, written as extended XYZ:
```
4
Lattice="-1.715 -3.167 -0.905 1.966 -0.166 -3.146 7.613 -5.566 5.052" Properties=species:S:1:pos:R:3 pbc="T T T"
La 3.932 -4.449 0.500
Eu 1.839 -1.345 1.220
Eu 5.774 -4.221 3.831
Ho 0.126 -1.666 -2.026
```

Output
Crystal system = tetragonal
Total moment = 15.2 Bohr magnetons per cell

---

Version x
## LaEu2Ho (PBE)

Data for a relaxed LaEu2Ho crystal.

Cell and atoms, written as extended XYZ:
```
4
Lattice="-3.920 -2.193 3.886 -5.315 -1.872 -1.878 -1.270 -5.802 -0.016" Properties=species:S:1:pos:R:3 pbc="T T T"
Ho -5.253 -4.933 0.996
La 0.000 0.000 0.000
Eu -2.626 -2.467 0.498
Eu -7.879 -7.400 1.494
```

Output
Crystal system = cubic
Total moment = 14.6 Bohr magnetons per cell

---

Which one sits at the top of the stability order? version w does.

---

Version w
## EuHoLu2 (PBE)

Data for a relaxed EuHoLu2 crystal.

Cell and atoms, written as extended XYZ:
```
4
Lattice="-0.664 -1.301 3.154 -2.840 -1.936 0.519 5.252 -11.259 -1.623" Properties=species:S:1:pos:R:3 pbc="T T T"
Lu 3.490 -8.465 -0.842
Lu -1.742 -6.031 2.891
Eu 0.000 0.000 0.000
Ho 0.874 -7.248 1.025
```

Output
Crystal system = trigonal
Total moment = 7.7 Bohr magnetons per cell

---

Version x
## EuHoLu2 (PBE)

Data for a relaxed EuHoLu2 crystal.

Cell and atoms, written as extended XYZ:
```
4
Lattice="3.973 0.000 0.000 0.000 5.667 0.000 0.000 0.000 5.667" Properties=species:S:1:pos:R:3 pbc="T T T"
Ho 1.987 2.834 2.834
Lu 0.000 0.000 2.834
Lu 0.000 2.834 0.000
Eu 1.987 0.000 0.000
```

Output
Crystal system = tetragonal
Total moment = 7.2 Bohr magnetons per cell

---

Which one sits at the top of the stability order? version x does.

---

Version w
## EuHoMg (PBE)

Data for a relaxed EuHoMg crystal.

Cell and atoms, written as extended XYZ:
```
3
Lattice="3.791 0.000 0.000 0.000 3.791 0.000 -1.895 -1.895 6.582" Properties=species:S:1:pos:R:3 pbc="T T T"
Eu 0.000 0.000 0.143
Ho 0.000 0.000 4.136
Mg 1.895 1.895 2.304
```

Output
Crystal system = tetragonal
Total moment = 7.4 Bohr magnetons per cell

---

Version x
## EuHoMg (PBE)

Data for a relaxed EuHoMg crystal.

Cell and atoms, written as extended XYZ:
```
3
Lattice="-2.214 2.457 0.815 -3.616 -2.009 -3.769 -0.129 -1.866 5.274" Properties=species:S:1:pos:R:3 pbc="T T T"
Mg -3.945 -0.308 -0.206
Ho -2.086 -1.033 2.552
Eu -2.143 2.378 0.789
```

Output
Crystal system = trigonal
Total moment = 7.2 Bohr magnetons per cell

---

Which one sits at the top of the stability order? version w does.

---

Version w
## EuHoN (PBE)

Data for a relaxed EuHoN crystal.

Cell and atoms, written as extended XYZ:
```
3
Lattice="-2.299 -2.068 -1.762 0.399 -0.377 3.517 -4.572 4.252 0.975" Properties=species:S:1:pos:R:3 pbc="T T T"
N -3.072 0.051 0.354
Ho -2.952 1.339 2.280
Eu -0.449 0.417 0.096
```

Output
Crystal system = trigonal
Total moment = 7.5 Bohr magnetons per cell

---

Version x
## EuHoN (PBE)

Data for a relaxed EuHoN crystal.

Cell and atoms, written as extended XYZ:
```
3
Lattice="-2.074 1.435 2.163 -2.409 -0.034 -2.287 0.246 -6.893 2.257" Properties=species:S:1:pos:R:3 pbc="T T T"
N -3.380 -2.835 1.190
Eu -4.077 -4.997 1.956
Ho -1.017 -3.155 1.118
```

Output
Crystal system = tetragonal
Total moment = 7.7 Bohr magnetons per cell

---

Which one sits at the top of the stability order? version w does.

---

Version w
## NdEu2Ho (PBE)

Data for a relaxed NdEu2Ho crystal.

Cell and atoms, written as extended XYZ:
```
4
Lattice="-3.416 -4.592 1.432 0.904 -5.251 -2.532 2.222 -4.456 3.163" Properties=species:S:1:pos:R:3 pbc="T T T"
Eu -0.217 -10.724 1.548
Eu -0.072 -3.575 0.516
Ho -0.145 -7.149 1.032
Nd 0.000 0.000 0.000
```

Output
Crystal system = cubic
Total moment = 14.5 Bohr magnetons per cell

---

Version x
## NdEu2Ho (PBE)

Data for a relaxed NdEu2Ho crystal.

Cell and atoms, written as extended XYZ:
```
4
Lattice="-1.423 1.925 -2.689 -3.051 1.840 0.521 5.406 11.624 3.052" Properties=species:S:1:pos:R:3 pbc="T T T"
Nd 0.466 7.695 0.442
Eu -2.694 6.442 -1.194
Eu 3.625 8.947 2.077
Ho 0.000 0.000 0.000
```

Output
Crystal system = trigonal
Total moment = 15.3 Bohr magnetons per cell

---

Which one sits at the top of the stability order? version w does.

---

Version w
## NdEu2Ho (PBE)

Data for a relaxed NdEu2Ho crystal.

Cell and atoms, written as extended XYZ:
```
4
Lattice="4.044 0.000 0.000 0.000 5.990 0.000 0.000 0.000 5.990" Properties=species:S:1:pos:R:3 pbc="T T T"
Eu 0.000 2.995 0.000
Eu 0.000 0.000 2.995
Nd 2.022 0.000 0.000
Ho 2.022 2.995 2.995
```

Output
Crystal system = tetragonal
Total moment = 14.8 Bohr magnetons per cell

---

Version x
## NdEu2Ho (PBE)

Data for a relaxed NdEu2Ho crystal.

Cell and atoms, written as extended XYZ:
```
4
Lattice="3.682 0.000 0.000 0.000 3.682 0.000 0.000 0.000 10.669" Properties=species:S:1:pos:R:3 pbc="T T T"
Eu 0.000 0.000 8.058
Eu 0.000 0.000 2.611
Ho 1.841 1.841 0.000
Nd 1.841 1.841 5.334
```

Output
Crystal system = tetragonal
Total moment = 15.2 Bohr magnetons per cell

---

Which one sits at the top of the stability order? version x does.

---

Version w
## EuHo2Ni (PBE)

Data for a relaxed EuHo2Ni crystal.

Cell and atoms, written as extended XYZ:
```
4
Lattice="3.442 0.000 0.000 0.000 3.442 0.000 0.000 0.000 9.141" Properties=species:S:1:pos:R:3 pbc="T T T"
Ni 1.721 1.721 0.000
Ho 0.000 0.000 1.586
Ho 0.000 0.000 7.555
Eu 1.721 1.721 4.570
```

Output
Crystal system = tetragonal
Total moment = 7.9 Bohr magnetons per cell

---

Version x
## EuHo2Ni (PBE)

Data for a relaxed EuHo2Ni crystal.

Cell and atoms, written as extended XYZ:
```
4
Lattice="3.842 0.000 0.000 1.921 3.327 0.000 1.921 1.109 10.311" Properties=species:S:1:pos:R:3 pbc="T T T"
Eu 0.000 0.000 0.000
Ho 1.921 1.109 6.627
Ho 5.762 3.327 3.683
Ni 3.842 2.218 5.155
```

Output
Crystal system = trigonal
Total moment = 7.8 Bohr magnetons per cell

---

Which one sits at the top of the stability order? version w does.

---

Version w
## EuHoPd (PBE)

Data for a relaxed EuHoPd crystal.

Cell and atoms, written as extended XYZ:
```
3
Lattice="-0.248 3.383 -1.197 -1.455 -1.191 -3.067 -4.963 -0.613 4.702" Properties=species:S:1:pos:R:3 pbc="T T T"
Ho -3.411 0.284 1.508
Eu -0.278 0.023 0.123
Pd -2.977 1.273 -1.192
```

Output
Crystal system = tetragonal
Total moment = 7.5 Bohr magnetons per cell

---

Version x
## EuHoPd (PBE)

Data for a relaxed EuHoPd crystal.

Cell and atoms, written as extended XYZ:
```
3
Lattice="-4.683 1.183 -1.188 -2.029 -1.774 -4.181 -3.574 -3.451 0.240" Properties=species:S:1:pos:R:3 pbc="T T T"
Pd -2.572 -1.010 -1.282
Ho -5.143 -2.021 -2.565
Eu 0.000 0.000 0.000
```

Output
Crystal system = cubic
Total moment = 7.2 Bohr magnetons per cell

---

Which one sits at the top of the stability order? version w does.